# 1
NiIr3Pd | PBEsol | optimized geometry

The structure belongs to space group Pm-3m (No. 221); the cell edges are 4.638, 4.638 and 4.638 Å and the angles 90.00°, 90.00° and 90.00°. The asymmetric unit holds Ni at (0.000, 0.000, 0.000), Ir at (0.000, 0.500, 0.500) and Pd at (0.500, 0.500, 0.500).

The value obtained for the formation energy is 13.09 eV/f.u.


# 2
TaMoW | PBEsol | optimized geometry

The structure belongs to space group Fmm2 (No. 42); the cell edges are 3.179, 4.531 and 13.403 Å and the angles 90.00°, 90.00° and 90.00°. The asymmetric unit holds Ta at (0.000, 0.000, 0.000), Mo at (0.000, 0.000, 0.332) and W at (0.000, 0.000, 0.670).

The value obtained for the energy relative to the lowest polymorph listed for this composition is 68 meV per atom. The value obtained for the formation energy is -0.24 eV/f.u.


# 3
Cr4AsOs | PBEsol | optimized geometry

The structure belongs to space group F-43m (No. 216); the cell edges are 6.638, 6.638 and 6.638 Å and the angles 90.00°, 90.00° and 90.00°. The asymmetric unit holds Cr at (0.123, 0.123, 0.123), As at (0.250, 0.250, 0.750) and Os at (0.000, 0.000, 0.500).

The value obtained for the formation energy is 1.90 eV/f.u.


# 4
TeIrAu3 | PBEsol | optimized geometry

The structure belongs to space group Pm-3m (No. 221); the cell edges are 4.931, 4.931 and 4.931 Å and the angles 90.00°, 90.00° and 90.00°. The asymmetric unit holds Te at (0.000, 0.000, 0.000), Ir at (0.500, 0.500, 0.500) and Au at (0.000, 0.500, 0.500).

For the uncorrected formation energy, the calculation gives 542 kJ/mol of formula units.


Number 1: total moment 4.496 Bohr magnetons per cell, N(E_F) 8.074 states/eV/cell. Number 2: total moment 0.001 Bohr magnetons per cell, N(E_F) 5.334 states/eV/cell. Number 3: total moment 0.000 Bohr magnetons per cell, N(E_F) 23.430 states/eV/cell. Number 4: total moment 0.004 Bohr magnetons per cell, N(E_F) 5.891 states/eV/cell.